1.
# NaPWCl2

A relaxed structure of NaPWCl2 (PBE, Alexandria via LeMat-Bulk).

Cell lengths 4.6811, 4.6811, 5.4367 Å; angles 90.00, 90.00, 90.00 degrees
Space group P4/mmm (No. 123)
Asymmetric unit:
1 Na 0.0000 0.0000 0.0000 [1 per cell]
2 P 0.0000 0.0000 0.5000 [1 per cell]
3 W 0.5000 0.5000 0.5000 [1 per cell]
4 Cl 0.0000 0.5000 0.0000 [2 per cell]

size of the total moment = 2.00 Bohr magnetons per cell
DOS at the Fermi energy = 4.01 states/eV per cell
ΔE to the lowest computed polymorph = 6.74 eV/f.u.
V = 119 Å³ per cell

***

2.
# NaPWCl2

A relaxed structure of NaPWCl2 (PBE, Alexandria via LeMat-Bulk).

Cell lengths 5.0096, 5.0096, 4.6958 Å; angles 90.00, 90.00, 90.00 degrees
Space group P4/mmm (No. 123)
Asymmetric unit:
1 Na 0.0000 0.0000 0.0000 [1 per cell]
2 P 0.5000 0.5000 0.0000 [1 per cell]
3 W 0.5000 0.5000 0.5000 [1 per cell]
4 Cl 0.0000 0.5000 0.5000 [2 per cell]

size of the total moment = 1.16 Bohr magnetons per cell
DOS at the Fermi energy = 3.25 states/eV per cell
ΔE to the lowest computed polymorph = 0.00 eV/f.u.
V = 118 Å³ per cell

***

3.
# NaYP2Cl

A relaxed structure of NaYP2Cl (PBE, Alexandria via LeMat-Bulk).

Cell lengths 4.8226, 4.8226, 4.8782 Å; angles 90.00, 90.00, 90.00 degrees
Space group P4/mmm (No. 123)
Asymmetric unit:
1 Na 0.0000 0.0000 0.0000 [1 per cell]
2 Y 0.5000 0.5000 0.5000 [1 per cell]
3 P 0.0000 0.5000 0.0000 [2 per cell]
4 Cl 0.0000 0.0000 0.5000 [1 per cell]

size of the total moment = 0.00 Bohr magnetons per cell
DOS at the Fermi energy = 3.21 states/eV per cell
ΔE to the lowest computed polymorph = 2.31 eV/f.u.
V = 113 Å³ per cell

***

4.
# NaYPCl2

A relaxed structure of NaYPCl2 (PBE, Alexandria via LeMat-Bulk).

Cell lengths 5.3109, 5.3109, 5.4810 Å; angles 90.00, 90.00, 90.00 degrees
Space group P4/mmm (No. 123)
Asymmetric unit:
1 Na 0.0000 0.0000 0.0000 [1 per cell]
2 Y 0.5000 0.5000 0.5000 [1 per cell]
3 P 0.5000 0.5000 0.0000 [1 per cell]
4 Cl 0.0000 0.5000 0.5000 [2 per cell]

size of the total moment = 0.99 Bohr magnetons per cell
DOS at the Fermi energy = 4.16 states/eV per cell
ΔE to the lowest computed polymorph = 0.00 eV/f.u.
V = 155 Å³ per cell

***

5.
# Na2YPCl

A relaxed structure of Na2YPCl (PBE, Alexandria via LeMat-Bulk).

Cell lengths 4.6004, 4.6004, 7.4138 Å; angles 90.00, 90.00, 90.00 degrees
Space group P4/mmm (No. 123)
Asymmetric unit:
1 Na 0.0000 0.5000 0.0000 [2 per cell]
2 Y 0.0000 0.0000 0.5000 [1 per cell]
3 P 0.5000 0.5000 0.5000 [1 per cell]
4 Cl 0.5000 0.5000 0.0000 [1 per cell]

size of the total moment = 0.93 Bohr magnetons per cell
energy = -3.57 eV/atom
DOS at the Fermi energy = 2.62 states/eV per cell
V = 157 Å³ per cell

***

6.
# NaYP2Cl

A relaxed structure of NaYP2Cl (PBE, Alexandria via LeMat-Bulk).

Cell lengths 5.3502, 5.3502, 5.3922 Å; angles 90.00, 90.00, 90.00 degrees
Space group P4/mmm (No. 123)
Asymmetric unit:
1 Na 0.0000 0.0000 0.0000 [1 per cell]
2 Y 0.5000 0.5000 0.5000 [1 per cell]
3 P 0.0000 0.5000 0.5000 [2 per cell]
4 Cl 0.5000 0.5000 0.0000 [1 per cell]

size of the total moment = 0.93 Bohr magnetons per cell
DOS at the Fermi energy = 2.60 states/eV per cell
ΔE to the lowest computed polymorph = 0.00 eV/f.u.
V = 154 Å³ per cell